1.
Y2Ge2Bi after structural relaxation, computed with PBE.

Summary:
- total magnetization (μB/atom) = 0.000
- DFT formation energy (eV/atom) = -0.3001
- density of states at the Fermi level (states/eV/atom) = 1.29

```
data_Y2Ge2Bi
_chemical_formula_sum 'Y4 Ge4 Bi2'
_cell_length_a 5.1561
_cell_length_b 5.1561
_cell_length_c 10.4319
_cell_angle_alpha 90.00
_cell_angle_beta 90.00
_cell_angle_gamma 90.00
_space_group_name_H-M_alt 'I 4/m m m'
_space_group_IT_number 139
_space_group_name_Hall '-I 4 2'
loop_
_atom_site_label
_atom_site_type_symbol
_atom_site_fract_x
_atom_site_fract_y
_atom_site_fract_z
Y1 Y 0.0000 0.5000 0.2500
Ge1 Ge 0.0000 0.0000 0.1151
Bi1 Bi 0.0000 0.0000 0.5000
```


2.
Pa3Si4Pt2 after structural relaxation, computed with PBE.

Summary:
- total DFT energy (no corrections) (eV per atom) = -7.781
- total magnetization (μB/atom) = 0.000
- density of states at the Fermi level (states/eV/atom) = 0.98

```
data_Pa3Si4Pt2
_chemical_formula_sum 'Pa6 Si8 Pt4'
_cell_length_a 10.6170
_cell_length_b 4.1566
_cell_length_c 8.1228
_cell_angle_alpha 90.00
_cell_angle_beta 102.37
_cell_angle_gamma 90.00
_space_group_name_H-M_alt 'C 1 2/m 1'
_space_group_IT_number 12
_space_group_name_Hall '-C 2y'
loop_
_atom_site_label
_atom_site_type_symbol
_atom_site_fract_x
_atom_site_fract_y
_atom_site_fract_z
Pa1 Pa 0.0000 0.0000 0.0000
Pa2 Pa 0.1651 0.5000 0.6754
Si1 Si 0.0518 0.0000 0.3877
Si2 Si 0.2213 0.5000 0.0520
Pt1 Pt 0.1223 0.5000 0.2926
```


3.
MnHPb2 after structural relaxation, computed with PBE.

Summary:
- total DFT energy (no corrections) (eV per atom) = -3.947
- total magnetization (μB/atom) = 0.000
- density of states at the Fermi level (states/eV/atom) = 2.02

```
data_MnHPb2
_chemical_formula_sum 'Mn4 H4 Pb8'
_cell_length_a 6.6147
_cell_length_b 6.6147
_cell_length_c 6.6147
_cell_angle_alpha 90.00
_cell_angle_beta 90.00
_cell_angle_gamma 90.00
_space_group_name_H-M_alt 'F m -3 m'
_space_group_IT_number 225
_space_group_name_Hall '-F 4 2 3'
loop_
_atom_site_label
_atom_site_type_symbol
_atom_site_fract_x
_atom_site_fract_y
_atom_site_fract_z
Mn1 Mn 0.0000 0.0000 0.0000
H1 H 0.0000 0.0000 0.5000
Pb1 Pb 0.2500 0.2500 0.2500
```


4.
RePt2Se after structural relaxation, computed with PBE.

Summary:
- total DFT energy (no corrections) (eV per atom) = -6.591
- total magnetization (μB/atom) = 0.000
- density of states at the Fermi level (states/eV/atom) = 0.91

```
data_RePt2Se
_chemical_formula_sum 'Re2 Pt4 Se2'
_cell_length_a 4.2751
_cell_length_b 4.2751
_cell_length_c 6.9424
_cell_angle_alpha 90.00
_cell_angle_beta 90.00
_cell_angle_gamma 90.00
_space_group_name_H-M_alt 'I -4 m 2'
_space_group_IT_number 119
_space_group_name_Hall 'I -4 -2'
loop_
_atom_site_label
_atom_site_type_symbol
_atom_site_fract_x
_atom_site_fract_y
_atom_site_fract_z
Re1 Re 0.0000 0.0000 0.0000
Pt1 Pt 0.0000 0.0000 0.5000
Pt2 Pt 0.0000 0.5000 0.2500
Se1 Se 0.0000 0.5000 0.7500
```


Please write out number 3 again, unchanged.
MnHPb2 after structural relaxation, computed with PBE.

Summary:
- total DFT energy (no corrections) (eV per atom) = -3.947
- total magnetization (μB/atom) = 0.000
- density of states at the Fermi level (states/eV/atom) = 2.02

```
data_MnHPb2
_chemical_formula_sum 'Mn4 H4 Pb8'
_cell_length_a 6.6147
_cell_length_b 6.6147
_cell_length_c 6.6147
_cell_angle_alpha 90.00
_cell_angle_beta 90.00
_cell_angle_gamma 90.00
_space_group_name_H-M_alt 'F m -3 m'
_space_group_IT_number 225
_space_group_name_Hall '-F 4 2 3'
loop_
_atom_site_label
_atom_site_type_symbol
_atom_site_fract_x
_atom_site_fract_y
_atom_site_fract_z
Mn1 Mn 0.0000 0.0000 0.0000
H1 H 0.0000 0.0000 0.5000
Pb1 Pb 0.2500 0.2500 0.2500
```